Entry 1:
This record from Alexandria describes an optimized crystal structure of Li2O. The functional is PBE-GGA.

Its uncorrected formation energy is -1.740 eV per atom. Its space group is Pnma, No. 62. The density of states at the Fermi level is 0.0 states/eV/cell. The energy above the most stable polymorph in this dataset comes out at 85 meV per atom.

Lattice parameters (Å, degrees): 5.1457 3.1347 5.9221 90.00 90.00 90.00
Fractional coordinates of all 12 atoms:
1 Li 0.0121 0.2500 0.1593
2 Li 0.1410 0.2500 0.5794
3 Li 0.3590 0.7500 0.0794
4 Li 0.4879 0.7500 0.6593
5 Li 0.5121 0.2500 0.3407
6 Li 0.6410 0.2500 0.9206
7 Li 0.8590 0.7500 0.4206
8 Li 0.9879 0.7500 0.8407
9 O 0.2455 0.7500 0.3988
10 O 0.2545 0.2500 0.8988
11 O 0.7455 0.7500 0.1012
12 O 0.7545 0.2500 0.6012



Entry 2:
This record from Alexandria describes an optimized crystal structure of Th3VPd12. The functional is PBE-GGA.

Its space group is P4/mmm, No. 123. The density of states at the Fermi level is 8.1 states/eV/cell. Its formation energy is -0.742 eV/atom.

Lattice parameters (Å, degrees): 4.1695 4.1695 16.4290 90.00 90.00 90.00
Fractional coordinates of all 16 atoms:
1 Th 0.0000 0.0000 0.0000
2 Th 0.0000 0.0000 0.2626
3 Th 0.0000 0.0000 0.7374
4 V 0.0000 0.0000 0.5000
5 Pd 0.0000 0.5000 0.1289
6 Pd 0.0000 0.5000 0.3864
7 Pd 0.0000 0.5000 0.6136
8 Pd 0.0000 0.5000 0.8711
9 Pd 0.5000 0.0000 0.1289
10 Pd 0.5000 0.0000 0.3864
11 Pd 0.5000 0.0000 0.6136
12 Pd 0.5000 0.0000 0.8711
13 Pd 0.5000 0.5000 0.0000
14 Pd 0.5000 0.5000 0.2564
15 Pd 0.5000 0.5000 0.5000
16 Pd 0.5000 0.5000 0.7436



Entry 3:
This record from Alexandria describes an optimized crystal structure of Cs3ZrZn. The functional is PBE-GGA.

Its space group is Pm-3m, No. 221. The density of states at the Fermi level is 10.7 states/eV/cell. Its formation energy is 1.026 eV/atom.

Lattice parameters (Å, degrees): 7.0152 7.0152 7.0152 90.00 90.00 90.00
Fractional coordinates of all 5 atoms:
1 Cs 0.0000 0.0000 0.5000
2 Cs 0.0000 0.5000 0.0000
3 Cs 0.5000 0.0000 0.0000
4 Zr 0.5000 0.5000 0.5000
5 Zn 0.0000 0.0000 0.0000



Entry 4:
This record from Alexandria describes an optimized crystal structure of K2NiCl5. The functional is PBE-GGA.

Its uncorrected formation energy is -1.234 eV per atom. Its space group is I4mm, No. 107. The energy above the most stable polymorph in this dataset comes out at 15 meV per atom.

Lattice parameters (Å, degrees): 6.7554 6.7554 6.7554 116.40 116.40 96.35
Fractional coordinates of all 8 atoms:
1 K 0.0000 0.5000 0.5000
2 K 0.5000 0.0000 0.5000
3 Ni 0.2260 0.2260 0.0000
4 Cl 0.0359 0.0359 0.5615
5 Cl 0.0359 0.4744 0.0000
6 Cl 0.4744 0.0359 0.0000
7 Cl 0.4744 0.4744 0.4385
8 Cl 0.9713 0.9713 0.0000



Entry 5:
This record from Alexandria describes an optimized crystal structure of Sc6Fe2Pb. The functional is PBE-GGA.

Its space group is Immm, No. 71. The density of states at the Fermi level is 17.7 states/eV/cell. Its formation energy is -0.241 eV/atom.

Lattice parameters (Å, degrees): 7.8658 7.8658 7.8658 110.92 110.71 106.81
Fractional coordinates of all 18 atoms:
1 Sc 0.0067 0.2342 0.7726
2 Sc 0.1922 0.2878 0.4801
3 Sc 0.1922 0.7122 0.9044
4 Sc 0.3128 0.0148 0.7020
5 Sc 0.3128 0.6107 0.2980
6 Sc 0.4616 0.2342 0.2274
7 Sc 0.5384 0.7658 0.7726
8 Sc 0.6872 0.3893 0.7020
9 Sc 0.6872 0.9852 0.2980
10 Sc 0.8078 0.2878 0.0956
11 Sc 0.8078 0.7122 0.5199
12 Sc 0.9933 0.7658 0.2274
13 Fe 0.1137 0.6137 0.5000
14 Fe 0.3787 0.0000 0.3787
15 Fe 0.6213 0.0000 0.6213
16 Fe 0.8863 0.3863 0.5000
17 Pb 0.0000 0.0000 0.0000
18 Pb 0.5000 0.5000 0.0000



Entry 6:
This record from Alexandria describes an optimized crystal structure of KRbS14. The functional is PBE-GGA.

Its uncorrected formation energy is -0.200 eV per atom. Its space group is C2/c, No. 15.

Lattice parameters (Å, degrees): 10.9485 10.9485 18.5154 120.16 120.16 37.86
Fractional coordinates of all 32 atoms:
1 K 0.0000 0.5000 0.0000
2 K 0.5000 0.0000 0.5000
3 Rb 0.1042 0.8958 0.7500
4 Rb 0.8958 0.1042 0.2500
5 S 0.0022 0.1785 0.9405
6 S 0.1061 0.3924 0.6444
7 S 0.1203 0.2397 0.7700
8 S 0.1525 0.1763 0.6499
9 S 0.1763 0.1525 0.1499
10 S 0.1785 0.0022 0.4405
11 S 0.2080 0.3444 0.3666
12 S 0.2397 0.1203 0.2700
13 S 0.3024 0.5669 0.0854
14 S 0.3444 0.2080 0.8666
15 S 0.3924 0.1061 0.1444
16 S 0.3968 0.5581 0.2945
17 S 0.4331 0.6976 0.4146
18 S 0.4419 0.6032 0.2055
19 S 0.5581 0.3968 0.7945
20 S 0.5669 0.3024 0.5854
21 S 0.6032 0.4419 0.7055
22 S 0.6076 0.8939 0.8556
23 S 0.6556 0.7920 0.1334
24 S 0.6976 0.4331 0.9146
25 S 0.7603 0.8797 0.7300
26 S 0.7920 0.6556 0.6334
27 S 0.8215 0.9978 0.5595
28 S 0.8237 0.8475 0.8501
29 S 0.8475 0.8237 0.3501
30 S 0.8797 0.7603 0.2300
31 S 0.8939 0.6076 0.3556
32 S 0.9978 0.8215 0.0595



Entry 7:
This record from Alexandria describes an optimized crystal structure of Zr2ScPaAs4. The functional is PBE-GGA.

Its space group is P2/m, No. 10. The density of states at the Fermi level is 5.5 states/eV/cell. Its formation energy is -1.174 eV/atom.

Lattice parameters (Å, degrees): 6.7898 3.9535 6.8132 90.00 109.57 90.00
Fractional coordinates of all 8 atoms:
1 Zr 0.0000 0.0000 0.0000
2 Zr 0.5000 0.5000 0.0000
3 Sc 0.0000 0.5000 0.5000
4 Pa 0.5000 0.0000 0.5000
5 As 0.2401 0.5000 0.2421
6 As 0.2451 0.0000 0.7519
7 As 0.7549 0.0000 0.2481
8 As 0.7599 0.5000 0.7579



Entry 8:
This record from Alexandria describes an optimized crystal structure of FeTcSb2. The functional is PBE-GGA.

Its uncorrected formation energy is 0.354 eV per atom. Its space group is C2/m, No. 12. The density of states at the Fermi level is 4.8 states/eV/cell. The energy above the most stable polymorph in this dataset comes out at 208 meV per atom.

Lattice parameters (Å, degrees): 4.4392 4.4392 5.4481 101.34 101.34 43.23
Fractional coordinates of all 4 atoms:
1 Fe 0.0000 0.0000 0.0000
2 Tc 0.5000 0.5000 0.5000
3 Sb 0.2483 0.2483 0.7515
4 Sb 0.7517 0.7517 0.2485



Entry 9:
This record from Alexandria describes an optimized crystal structure of LiHg3O. The functional is PBE-GGA.

Its uncorrected formation energy is 0.190 eV per atom. Its space group is Pm-3m, No. 221. The density of states at the Fermi level is 3.2 states/eV/cell. The energy above the most stable polymorph in this dataset comes out at 0 meV per atom.

Lattice parameters (Å, degrees): 4.9564 4.9564 4.9564 90.00 90.00 90.00
Fractional coordinates of all 5 atoms:
1 Li 0.0000 0.0000 0.0000
2 Hg 0.0000 0.5000 0.5000
3 Hg 0.5000 0.0000 0.5000
4 Hg 0.5000 0.5000 0.0000
5 O 0.5000 0.5000 0.5000



Entry 10:
This record from Alexandria describes an optimized crystal structure of Sn2SbPbSe. The functional is PBE-GGA.

Its uncorrected formation energy is 0.864 eV per atom. Its space group is P4/mmm, No. 123. The density of states at the Fermi level is 7.5 states/eV/cell. The energy above the most stable polymorph in this dataset comes out at 251 meV per atom.

Lattice parameters (Å, degrees): 5.8563 5.8563 5.7295 90.00 90.00 90.00
Fractional coordinates of all 5 atoms:
1 Sn 0.0000 0.5000 0.0000
2 Sn 0.5000 0.0000 0.0000
3 Sb 0.0000 0.0000 0.5000
4 Pb 0.0000 0.0000 0.0000
5 Se 0.5000 0.5000 0.5000



Entry 11:
This record from Alexandria describes an optimized crystal structure of LiLa2GePd6. The functional is PBE-GGA.

Its space group is C2/m, No. 12. The density of states at the Fermi level is 3.9 states/eV/cell. Its formation energy is -0.638 eV/atom.

Lattice parameters (Å, degrees): 6.5802 6.5802 8.3167 128.49 128.49 50.08
Fractional coordinates of all 10 atoms:
1 Li 0.0000 0.0000 0.0000
2 La 0.2549 0.2549 0.7836
3 La 0.7451 0.7451 0.2164
4 Ge 0.5000 0.5000 0.5000
5 Pd 0.2335 0.7430 0.2440
6 Pd 0.2466 0.2466 0.3999
7 Pd 0.2570 0.7665 0.7560
8 Pd 0.7430 0.2335 0.2440
9 Pd 0.7534 0.7534 0.6001
10 Pd 0.7665 0.2570 0.7560



Entry 12:
This record from Alexandria describes an optimized crystal structure of BeTlRh2. The functional is PBE-GGA.

Its space group is R3m, No. 160. The density of states at the Fermi level is 3.9 states/eV/cell. The energy above the most stable polymorph in this dataset comes out at 457 meV per atom. Its formation energy is 0.320 eV/atom.

Lattice parameters (Å, degrees): 8.7025 8.7025 8.7025 19.43 19.43 19.43
Fractional coordinates of all 4 atoms:
1 Be 0.0000 0.0000 0.0000
2 Tl 0.2365 0.2365 0.2365
3 Rh 0.4787 0.4787 0.4787
4 Rh 0.7262 0.7262 0.7262